Entry from Alexandria via LeMat-Bulk: a crystal of TaInTc2 relaxed with PBEsol (meta-GGA SCAN).

```
TaInTc2
1.0
2.928 0.000 0.000
0.000 3.957 0.000
0.000 0.000 5.651
Ta In Tc
1 1 2
Direct
0.000 0.000 0.000 Ta
0.500 0.500 0.709 In
0.000 0.000 0.440 Tc
0.500 0.500 0.224 Tc
```

Calculated values
- DFT formation energy: 0.07 eV per atom
- Space-group type: No. 25

Entry from Alexandria via LeMat-Bulk: a crystal of Ta3InTe relaxed with PBEsol (meta-GGA SCAN).

```
Ta3InTe
1.0
4.956 0.000 0.000
0.000 4.956 0.000
0.000 0.000 4.956
Ta In Te
3 1 1
Direct
0.000 0.000 0.500 Ta
0.000 0.500 0.000 Ta
0.500 0.000 0.000 Ta
0.500 0.500 0.500 In
0.000 0.000 0.000 Te
```

Calculated values
- Space-group type: No. 221
- Raw formation energy: 1.735 eV/atom

Number 1: total moment 0.0 μB per formula unit, electronic total energy -169.8 eV/f.u.. Number 2: total moment 0.0 μB per formula unit, electronic total energy -261.7 eV/f.u..